(1)
## In3GaHg7 (PBE-GGA)

Data for In3GaHg7 after structural relaxation.

a b c (Å): 5.829 7.759 7.759
angles (deg): 120.00 90.00 90.00
Fractional positions:
1 Hg 0.098 0.724 0.862
2 Ga 0.331 0.333 0.667
3 Hg 0.098 0.138 0.862
4 Hg 0.517 0.859 0.718
5 In 0.768 0.479 0.958
6 Hg 0.517 0.859 0.141
7 Hg 0.135 0.667 0.333
8 Hg 0.098 0.138 0.276
9 In 0.768 0.479 0.521
10 Hg 0.517 0.282 0.141
11 In 0.768 0.042 0.521

ΔH_f (0 K)   0.6 eV/f.u.
Polymorph energy (0 for the lowest one)   0.004 eV/atom
Total moment   0.000 μB/f.u.

***

(2)
## HRuF2 (PBE-GGA)

Data for HRuF2 after structural relaxation.

a b c (Å): 3.730 3.730 3.730
angles (deg): 60.00 60.00 60.00
Fractional positions:
1 F 0.250 0.250 0.250
2 Ru 0.500 0.500 0.500
3 H 0.000 0.000 0.000
4 F 0.750 0.750 0.750

Polymorph energy (0 for the lowest one)   0.740 eV/atom
Total moment   0.000 μB/f.u.

***

(3)
## Cs3Pr3SnO8 (PBE-GGA)

Data for Cs3Pr3SnO8 after structural relaxation.

a b c (Å): 7.247 7.247 8.175
angles (deg): 116.34 90.00 120.00
Fractional positions:
1 Pr 0.000 0.500 0.500
2 Cs 0.500 0.500 0.000
3 O 0.722 0.443 0.665
4 Pr 0.500 0.500 0.500
5 O 0.753 0.956 0.659
6 O 0.247 0.044 0.341
7 O 0.797 0.044 0.341
8 O 0.278 0.557 0.335
9 Sn 0.000 0.000 0.500
10 O 0.203 0.406 0.659
11 O 0.203 0.956 0.659
12 O 0.797 0.594 0.341
13 Cs 0.000 0.000 0.000
14 Pr 0.500 0.000 0.500
15 Cs 0.000 0.500 0.000

Formation energy from raw total energies   -34.69 eV/f.u.
Total moment   0.000 μB/f.u.

***

(4)
## Mg5Cd2Ag2Pd (PBE-GGA)

Data for Mg5Cd2Ag2Pd after structural relaxation.

a b c (Å): 3.170 11.375 11.375
angles (deg): 90.00 90.00 90.00
Fractional positions:
1 Pd 0.000 0.000 0.000
2 Cd 0.000 0.176 0.324
3 Ag 0.000 0.858 0.358
4 Mg 0.500 0.808 0.971
5 Cd 0.000 0.676 0.176
6 Mg 0.500 0.029 0.808
7 Ag 0.000 0.358 0.142
8 Mg 0.500 0.000 0.500
9 Mg 0.500 0.471 0.308
10 Mg 0.500 0.192 0.029
11 Mg 0.500 0.500 0.000
12 Mg 0.500 0.971 0.192
13 Mg 0.500 0.308 0.529
14 Mg 0.500 0.692 0.471
15 Ag 0.000 0.642 0.858
16 Cd 0.000 0.324 0.824
17 Cd 0.000 0.824 0.676
18 Pd 0.000 0.500 0.500
19 Ag 0.000 0.142 0.642
20 Mg 0.500 0.529 0.692

ΔH_f (0 K)   -2.3 eV/f.u.
Total moment   0.000 μB/f.u.

***

(5)
## BeCd2Co (PBE-GGA)

Data for BeCd2Co after structural relaxation.

a b c (Å): 4.403 4.403 4.403
angles (deg): 60.00 60.00 60.00
Last column: magnetic moment on the atom in μB.
Fractional positions:
1 Cd 0.250 0.250 0.250  -0.01
2 Cd 0.000 0.000 0.000  -0.01
3 Be 0.500 0.500 0.500  -0.01
4 Co 0.750 0.750 0.750  0.40

ΔH_f (0 K)   1.7 eV/f.u.
Total moment   0.335 μB/f.u.

***

(6)
## Np2Zn16Ru (PBE-GGA)

Data for Np2Zn16Ru after structural relaxation.

a b c (Å): 6.775 6.775 6.775
angles (deg): 83.75 83.75 83.75
Last column: magnetic moment on the atom in μB.
Fractional positions:
1 Zn 0.286 0.710 0.998  0.00
2 Zn 0.000 0.000 0.498  0.00
3 Ru 0.886 0.886 0.886  -0.29
4 Zn 0.648 0.154 0.648  0.00
5 Zn 0.998 0.710 0.286  0.00
6 Zn 0.710 0.998 0.286  0.00
7 Zn 0.100 0.100 0.100  0.02
8 Zn 0.359 0.359 0.837  0.00
9 Zn 0.000 0.498 0.000  0.00
10 Zn 0.359 0.837 0.359  0.00
11 Np 0.679 0.679 0.679  3.71
12 Zn 0.648 0.648 0.154  0.00
13 Zn 0.286 0.998 0.710  0.00
14 Zn 0.998 0.286 0.710  0.00
15 Np 0.343 0.343 0.343  3.96
16 Zn 0.710 0.286 0.998  0.00
17 Zn 0.498 0.000 0.000  0.00
18 Zn 0.837 0.359 0.359  0.00
19 Zn 0.154 0.648 0.648  0.00

ΔH_f (0 K)   -1.0 eV/f.u.
Total moment   7.984 μB/f.u.

***

(7)
## Th2Al3GaAg4 (PBE-GGA)

Data for Th2Al3GaAg4 after structural relaxation.

a b c (Å): 4.423 4.423 10.616
angles (deg): 90.00 90.00 90.00
Fractional positions:
1 Th 0.500 0.000 0.253
2 Al 0.000 0.500 0.134
3 Ag 0.000 0.500 0.370
4 Ag 0.500 0.000 0.630
5 Al 0.000 0.000 0.500
6 Ga 0.500 0.500 0.500
7 Al 0.500 0.000 0.866
8 Ag 0.500 0.500 0.000
9 Ag 0.000 0.000 0.000
10 Th 0.000 0.500 0.747

ΔH_f (0 K)   -2.8 eV/f.u.
Total moment   0.000 μB/f.u.

***

(8)
## BaCaTc3 (PBE-GGA)

Data for BaCaTc3 after structural relaxation.

a b c (Å): 5.136 5.136 5.136
angles (deg): 90.00 90.00 90.00
Last column: magnetic moment on the atom in μB.
Fractional positions:
1 Tc 0.500 0.000 0.000  2.02
2 Tc 0.000 0.500 0.000  2.12
3 Ca 0.500 0.500 0.500  -0.02
4 Tc 0.000 0.000 0.500  1.94
5 Ba 0.000 0.000 0.000  -0.01

ΔH_f (0 K)   11.7 eV/f.u.
Polymorph energy (0 for the lowest one)   0.225 eV/atom
Total moment   6.569 μB/f.u.